An optimized crystal structure of NpPaRe, computed with PBE.

Properties
Crystal system: trigonal
Mass density: 17720 kg/m3
ΔH_f (0 K): 0.398 eV per atom
Excess energy over the best structure of this formula in the dataset: 277 meV/atom

Unit cell a=3.2646 b=3.2646 c=6.6427 alpha=90.00 beta=90.00 gamma=120.00
With the nearest neighbours (Å) after each atom.
Positions (direct):
1 Pa 0.3333 0.6667 0.6712  3 Re 2.89, 3 Np 2.96
2 Re 0.0000 0.0000 0.0006  3 Np 2.88, 3 Pa 2.89
3 Np 0.6667 0.3333 0.3282  3 Re 2.88, 3 Pa 2.96

=====

An optimized crystal structure of NpPa2Re, computed with PBE.

Properties
Crystal system: tetragonal
Mass density: 17718 kg/m3
ΔH_f (0 K): 0.082 eV per atom
Excess energy over the best structure of this formula in the dataset: 0 meV/atom

Unit cell a=3.2179 b=5.0778 c=5.0778 alpha=90.00 beta=90.00 gamma=90.00
With the nearest neighbours (Å) after each atom.
Positions (direct):
1 Np 0.5000 0.5000 0.5000  8 Pa 3.01, 2 Np 3.22
2 Re 0.5000 0.0000 0.0000  8 Pa 3.01, 2 Re 3.22
3 Pa 0.0000 0.5000 0.0000  4 Re 3.01, 4 Np 3.01, 2 Pa 3.22
4 Pa 0.0000 0.0000 0.5000  4 Re 3.01, 4 Np 3.01, 2 Pa 3.22

=====

An optimized crystal structure of NpPaRe, computed with PBE.

Properties
Crystal system: tetragonal
Mass density: 18135 kg/m3
ΔH_f (0 K): 0.121 eV per atom
Excess energy over the best structure of this formula in the dataset: 0 meV/atom

Unit cell a=3.4461 b=3.4461 c=5.6022 alpha=107.91 beta=107.91 gamma=90.00
With the nearest neighbours (Å) after each atom.
Positions (direct):
1 Re 0.3340 0.3340 0.6680  4 Np 2.97, 4 Pa 2.98
2 Pa 0.6639 0.6639 0.3277  4 Np 2.93, 4 Re 2.98
3 Np 0.0022 0.0022 0.0043  4 Pa 2.93, 4 Re 2.97

=====

An optimized crystal structure of NpPa2Re, computed with PBE.

Properties
Crystal system: trigonal
Mass density: 17580 kg/m3
ΔH_f (0 K): 0.400 eV per atom
Excess energy over the best structure of this formula in the dataset: 319 meV/atom

Unit cell a=3.0391 b=3.0391 c=10.6007 alpha=81.76 beta=81.76 gamma=60.00
With the nearest neighbours (Å) after each atom.
Positions (direct):
1 Pa 0.0916 0.0916 0.7253  1 Np 2.87, 3 Re 2.94, 6 Pa 3.04
2 Pa 0.9084 0.9084 0.2747  1 Np 2.87, 3 Re 2.94, 6 Pa 3.04
3 Np 0.0000 0.0000 0.0000  2 Pa 2.87, 6 Np 3.04
4 Re 0.5000 0.5000 0.5000  6 Pa 2.94, 6 Re 3.04

=====

An optimized crystal structure of NpPaRe2, computed with PBE.

Properties
Crystal system: cubic
Mass density: 17477 kg/m3
ΔH_f (0 K): 0.213 eV per atom
Excess energy over the best structure of this formula in the dataset: 0 meV/atom

Unit cell a=4.8336 b=4.8336 c=4.8336 alpha=60.00 beta=60.00 gamma=60.00
With the nearest neighbours (Å) after each atom.
Positions (direct):
1 Pa 0.0000 0.0000 0.0000  8 Re 2.96
2 Re 0.7500 0.7500 0.7500  4 Pa 2.96, 4 Np 2.96
3 Re 0.2500 0.2500 0.2500  4 Pa 2.96, 4 Np 2.96
4 Np 0.5000 0.5000 0.5000  8 Re 2.96

=====

An optimized crystal structure of NpPaRe, computed with PBE.

Properties
Crystal system: tetragonal
Mass density: 17138 kg/m3
ΔH_f (0 K): 0.178 eV per atom
Excess energy over the best structure of this formula in the dataset: 58 meV/atom

Unit cell a=3.8211 b=3.8211 c=9.0925 alpha=102.11 beta=102.11 gamma=89.97
With the nearest neighbours (Å) after each atom.
Positions (direct):
1 Np 0.5000 0.0000 0.0000  4 Np 2.70
2 Np 0.0000 0.5000 0.0000  4 Np 2.70
3 Pa 0.1747 0.1747 0.3491  4 Re 2.75
4 Pa 0.8253 0.8253 0.6509  4 Re 2.75
5 Re 0.6443 0.6443 0.2883  4 Pa 2.75
6 Re 0.3557 0.3557 0.7117  4 Pa 2.75

=====

Q: The highest excess energy over the best structure of this formula in the dataset belongs to which entry?
A: number 4